{
  "formula": "CrBrO2F",
  "functional": "GGA+U",
  "state": "optimized geometry",
  "energy_ha_per_atom": -0.153,
  "cell": [[3.824, 0.000, 0.000], [0.000, 3.824, 0.000], [0.000, 0.000, 5.382]],
  "species": ["Cr", "Br", "O", "O", "F"],
  "frac_coords": [[0.000, 0.000, 0.000], [0.500, 0.500, 0.500], [0.000, 0.500, 0.500], [0.500, 0.000, 0.500], [0.500, 0.500, 0.000]]
}